No. 1
Below is a relaxed HfTaNiSn crystal, with properties calculated at the PBE-GGA level.

a = 6.6416 Å, b = 6.6416 Å, c = 6.6416 Å
α = 90.00°, β = 90.00°, γ = 90.00°
Space group F-43m (No. 216)
Asymmetric unit:
Hf: 0.0000 0.0000 0.0000 [4 per cell]
Ta: 0.2500 0.2500 0.2500 [4 per cell]
Ni: 0.2500 0.2500 0.7500 [4 per cell]
Sn: 0.0000 0.0000 0.5000 [4 per cell]

## Properties
total energy = -7.656 eV per atom
calculated volume = 292.97 Å³ per cell
total magnetization = 0.344 μB/atom



No. 2
Below is a relaxed HfNiSnW crystal, with properties calculated at the PBE-GGA level.

a = 6.5552 Å, b = 6.5552 Å, c = 6.5552 Å
α = 90.00°, β = 90.00°, γ = 90.00°
Space group F-43m (No. 216)
Asymmetric unit:
Hf: 0.0000 0.0000 0.0000 [4 per cell]
Ni: 0.0000 0.0000 0.5000 [4 per cell]
Sn: 0.2500 0.2500 0.2500 [4 per cell]
W: 0.2500 0.2500 0.7500 [4 per cell]

## Properties
total energy = -7.690 eV per atom
calculated volume = 281.68 Å³ per cell
total magnetization = 0.013 μB/atom



Q: What is the formula in the second record?
A: HfNiSnW



Q: Which of these has the highest calculated volume?
A: HfTaNiSn



Q: Look up the calculated volume of the second one.
A: 281.68 Å³ per cell



Q: Look up the total energy of the first one.
A: -7.656 eV per atom